The following is a GGA-PBE calculation of a relaxed Mg2Tl5Pb4 crystal, from Alexandria via LeMat-Bulk.

Computed properties:
Distance to the lowest polymorph of the same formula = 0.000 eV/atom
Total DFT energy (no corrections) = -2.705 eV/atom
Density = 9.54 Mg/m³

Lattice parameters (Å, degrees): 8.955 3.341 11.087 90.00 95.04 90.00
Space group P2/m (No. 10)
One atom of each set of equivalent atoms:
Mg (0.067, 0.000, 0.138) [2 per cell]
Tl (0.181, 0.000, 0.658) [2 per cell]
Tl (0.455, 0.000, 0.187) [2 per cell]
Tl (0.500, 0.000, 0.500) [1 per cell]
Pb (0.171, 0.500, 0.374) [2 per cell]
Pb (0.245, 0.500, 0.946) [2 per cell]


The following is a GGA-PBE calculation of a relaxed Ho2PaAl9 crystal, from Alexandria via LeMat-Bulk.

Computed properties:
Total DFT energy (no corrections) = -4.683 eV/atom
Density = 5.78 Mg/m³

Lattice parameters (Å, degrees): 5.5079 5.5079 26.3685 90.00 90.00 120.00
Space group R-3m (No. 166, hexagonal axes)
One atom of each set of equivalent atoms:
Ho (0.0000, 0.0000, 0.1396) [6 per cell]
Pa (0.0000, 0.0000, 0.0000) [3 per cell]
Al (0.0000, 0.0000, 0.3345) [6 per cell]
Al (0.0000, 0.0000, 0.5000) [3 per cell]
Al (0.0057, 0.5028, 0.9171) [18 per cell]


What did we get for total magnetic moment? Answer: 0.0 0.0 μB per formula unit, in the order shown.